# 1
An optimized crystal structure of RbTeHS, computed with GGA-PBE.

Computed properties:
The mass density comes out at 3.26 g cm⁻³. The energy relative to the lowest polymorph listed for this composition is 0.000 eV per atom.

Unit cell a=4.9158 b=5.3214 c=5.4589 alpha=101.61 beta=90.70 gamma=115.43
Space group P1 (No. 1)
Inequivalent atoms, fractional coordinates:
Rb1 0.0000 0.0000 0.0000 (multiplicity 1)
Te1 0.3631 0.7536 0.4600 (multiplicity 1)
H1 0.6905 0.4636 0.5151 (multiplicity 1)
S1 0.8915 0.3581 0.5670 (multiplicity 1)

# 2
An optimized crystal structure of LaCrTe2, computed with GGA-PBE.

Computed properties:
The mass density comes out at 5.44 g cm⁻³. The value obtained for the formation energy from raw total energies is -139 meV per atom. The energy relative to the lowest polymorph listed for this composition is 0.644 eV per atom.

Unit cell a=6.1921 b=6.1921 c=14.1972 alpha=90.00 beta=90.00 gamma=90.00
Space group I-42d (No. 122)
Inequivalent atoms, fractional coordinates:
La1 0.0000 0.0000 0.0000 (multiplicity 4)
Cr1 0.0000 0.0000 0.5000 (multiplicity 4)
Te1 0.1644 0.2500 0.6250 (multiplicity 8)

# 3
An optimized crystal structure of AlIn2Pd2, computed with GGA-PBE.

Computed properties:
The mass density comes out at 8.06 g cm⁻³. For the formation energy from the elements, the calculation gives -210 meV per atom.

Unit cell a=8.0196 b=8.0196 c=3.0094 alpha=90.00 beta=90.00 gamma=90.00
Space group P4/mbm (No. 127)
Inequivalent atoms, fractional coordinates:
Al1 0.0000 0.0000 0.0000 (multiplicity 2)
In1 0.1475 0.3525 0.0000 (multiplicity 4)
Pd1 0.1491 0.6491 0.5000 (multiplicity 4)

# 4
An optimized crystal structure of PrGd2Ag, computed with GGA-PBE.

Computed properties:
The mass density comes out at 8.17 g cm⁻³. For the formation energy from the elements, the calculation gives -1 meV per atom. The energy relative to the lowest polymorph listed for this composition is 0.132 eV per atom.

Unit cell a=5.5547 b=5.5547 c=3.7091 alpha=90.00 beta=90.00 gamma=90.00
Space group P4/mmm (No. 123)
Inequivalent atoms, fractional coordinates:
Pr1 0.0000 0.0000 0.0000 (multiplicity 1)
Gd1 0.0000 0.5000 0.5000 (multiplicity 2)
Ag1 0.5000 0.5000 0.0000 (multiplicity 1)

# 5
An optimized crystal structure of Y2FeOs, computed with GGA-PBE.

Computed properties:
The mass density comes out at 8.36 g cm⁻³. For the formation energy from the elements, the calculation gives 457 meV per atom.

Unit cell a=3.3382 b=3.3382 c=26.1699 alpha=90.00 beta=90.00 gamma=120.00
Space group R-3m (No. 166, hexagonal axes)
Inequivalent atoms, fractional coordinates:
Y1 0.0000 0.0000 0.2477 (multiplicity 6)
Fe1 0.0000 0.0000 0.0000 (multiplicity 3)
Os1 0.0000 0.0000 0.5000 (multiplicity 3)

# 6
An optimized crystal structure of KZnIn, computed with GGA-PBE.

Computed properties:
The mass density comes out at 3.83 g cm⁻³. For the formation energy from the elements, the calculation gives 26 meV per atom. The energy relative to the lowest polymorph listed for this composition is 0.078 eV per atom.

Unit cell a=4.9283 b=4.9283 c=4.5149 alpha=90.00 beta=90.00 gamma=120.00
Space group P-6m2 (No. 187)
Inequivalent atoms, fractional coordinates:
K1 0.0000 0.0000 0.0000 (multiplicity 1)
Zn1 0.6667 0.3333 0.5000 (multiplicity 1)
In1 0.3333 0.6667 0.5000 (multiplicity 1)

# 7
An optimized crystal structure of PmCuCO4, computed with GGA-PBE.

Computed properties:
The mass density comes out at 5.90 g cm⁻³. The value obtained for the formation energy from raw total energies is -1641 meV per atom.

Unit cell a=5.3012 b=7.8959 c=7.6571 alpha=90.00 beta=90.00 gamma=90.00
Space group Imma (No. 74)
Inequivalent atoms, fractional coordinates:
Pm1 0.0000 0.0000 0.0000 (multiplicity 4)
Cu1 0.2500 0.2500 0.2500 (multiplicity 4)
C1 0.0000 0.2500 0.6112 (multiplicity 4)
O1 0.0000 0.1030 0.6939 (multiplicity 8)
O2 0.2336 0.2500 0.4866 (multiplicity 8)

# 8
An optimized crystal structure of Na2Cd2Sn, computed with GGA-PBE.

Computed properties:
The mass density comes out at 4.70 g cm⁻³. For the formation energy from the elements, the calculation gives 89 meV per atom. The energy relative to the lowest polymorph listed for this composition is 0.234 eV per atom.

Unit cell a=4.2750 b=4.2750 c=15.0506 alpha=90.00 beta=90.00 gamma=90.00
Space group I4/mmm (No. 139)
Inequivalent atoms, fractional coordinates:
Na1 0.0000 0.5000 0.2500 (multiplicity 4)
Cd1 0.0000 0.0000 0.0958 (multiplicity 4)
Sn1 0.0000 0.0000 0.5000 (multiplicity 2)

# 9
An optimized crystal structure of SrCeTlHg, computed with GGA-PBE.

Computed properties:
The mass density comes out at 8.45 g cm⁻³. For the formation energy from the elements, the calculation gives -338 meV per atom. The energy relative to the lowest polymorph listed for this composition is 0.023 eV per atom.

Unit cell a=7.9222 b=7.9222 c=7.9222 alpha=90.00 beta=90.00 gamma=90.00
Space group F-43m (No. 216)
Inequivalent atoms, fractional coordinates:
Sr1 0.0000 0.0000 0.0000 (multiplicity 4)
Ce1 0.0000 0.0000 0.5000 (multiplicity 4)
Tl1 0.2500 0.2500 0.7500 (multiplicity 4)
Hg1 0.2500 0.2500 0.2500 (multiplicity 4)

# 10
An optimized crystal structure of As2PbCl, computed with GGA-PBE.

Computed properties:
The mass density comes out at 5.05 g cm⁻³. The value obtained for the formation energy from raw total energies is -198 meV per atom.

Unit cell a=3.6414 b=5.9731 c=11.8768 alpha=90.00 beta=90.00 gamma=90.00
Space group Imm2 (No. 44)
Inequivalent atoms, fractional coordinates:
As1 0.0000 0.0000 0.0000 (multiplicity 2)
As2 0.0000 0.5000 0.3620 (multiplicity 2)
Pb1 0.0000 0.0000 0.4464 (multiplicity 2)
Cl1 0.0000 0.5000 0.7691 (multiplicity 2)

# 11
An optimized crystal structure of DyPaCdTc, computed with GGA-PBE.

Computed properties:
The mass density comes out at 11.01 g cm⁻³. For the formation energy from the elements, the calculation gives 58 meV per atom.

Unit cell a=7.1429 b=7.1429 c=7.1429 alpha=90.00 beta=90.00 gamma=90.00
Space group F-43m (No. 216)
Inequivalent atoms, fractional coordinates:
Dy1 0.0000 0.0000 0.0000 (multiplicity 4)
Pa1 0.0000 0.0000 0.5000 (multiplicity 4)
Cd1 0.2500 0.2500 0.7500 (multiplicity 4)
Tc1 0.2500 0.2500 0.2500 (multiplicity 4)

# 12
An optimized crystal structure of CaMoN, computed with GGA-PBE.

Computed properties:
The mass density comes out at 5.16 g cm⁻³. The value obtained for the formation energy from raw total energies is 92 meV per atom.

Unit cell a=11.3616 b=3.1831 c=5.3375 alpha=90.00 beta=90.00 gamma=90.00
Space group Amm2 (No. 38)
Inequivalent atoms, fractional coordinates:
Ca1 0.1246 0.0000 0.0000 (multiplicity 4)
Mo1 0.3901 0.0000 0.5555 (multiplicity 4)
N1 0.0000 0.0000 0.6600 (multiplicity 2)
N2 0.5000 0.0000 0.8952 (multiplicity 2)